PmSc2Cu3 | PBE | relaxed

abc: 3.3291 3.3291 10.2287
angles: 90.00 90.00 90.00
With the nearest neighbours (Å) after each atom.
Sites, in units of the cell vectors:
Sc 0.5000 0.5000 0.1570  8 Cu 2.78-2.85
Sc 0.5000 0.5000 0.8430  8 Cu 2.78-2.85
Cu 0.0000 0.0000 0.6987  4 Sc 2.78, 1 Cu 3.08, 4 Pm 3.11
Cu 0.0000 0.0000 0.3013  4 Sc 2.78, 1 Cu 3.08, 4 Pm 3.11
Cu 0.0000 0.0000 0.0000  8 Sc 2.85, 2 Cu 3.08
Pm 0.5000 0.5000 0.5000  8 Cu 3.11, 4 Pm 3.33

- raw total energy (eV for the cell shown) = -31.077
- SG = No. 123
- density (g/cm3) = 6.233
- ΔE_f (eV/atom) = -0.23
- D(E_F) (states/eV/cell) = 3.03